First-principles (GGA-PBE) data for crystalline MgV2Fe2 at its relaxed geometry, as listed in the Alexandria database.

Structure (POSCAR):
```
MgV2Fe2
1.0
-3.386 2.581 5.611
-2.711 -6.370 1.295
2.105 -0.583 1.539
Mg Fe V
2 4 4
direct
0.000 0.000 0.000
0.500 0.500 0.000
0.148 0.648 0.500
0.648 0.852 0.500
0.852 0.352 0.500
0.352 0.148 0.500
0.355 0.855 0.000
0.855 0.645 0.000
0.645 0.145 0.000
0.145 0.355 0.000
```

Properties
Formation energy from the elements: 0.127 eV per atom
Relative energy among the computed polymorphs: 0.075 eV per atom
Size of the total moment: 0.0 μB/f.u.